(1)
LiPaSn after structural relaxation, computed with PBE.

Structure (extended XYZ):
```
12
Lattice="7.110 0.000 0.000 0.000 7.110 0.000 0.000 0.000 7.110" Properties=species:S:1:pos:R:3 pbc="T T T"
Li 0.000 0.000 0.000
Li 0.000 3.555 3.555
Li 3.555 0.000 3.555
Li 3.555 3.555 0.000
Pa 1.777 1.777 1.777
Pa 1.777 5.332 5.332
Pa 5.332 1.777 5.332
Pa 5.332 5.332 1.777
Sn 0.000 0.000 3.555
Sn 0.000 3.555 0.000
Sn 3.555 0.000 0.000
Sn 3.555 3.555 3.555
```

Values from the calculation:
The value obtained for the mass density is 6.6 g/cm³. The energy above the most stable polymorph in this dataset is 1.40 eV/f.u.

(2)
Ta2SnPbS4 after structural relaxation, computed with PBE.

Structure (extended XYZ):
```
8
Lattice="3.345 0.000 0.000 -1.672 2.897 0.000 0.000 0.000 17.097" Properties=species:S:1:pos:R:3 pbc="T T T"
Ta 0.000 0.000 4.247
Ta 0.000 0.000 12.850
Sn 0.000 0.000 0.000
Pb 0.000 0.000 8.548
S 0.000 1.931 11.281
S 0.000 1.931 14.414
S 1.672 0.966 2.683
S 1.672 0.966 5.816
```

Values from the calculation:
The raw total energy comes out at -6.7740 eV/atom. The value obtained for the mass density is 8.2 g/cm³.

(3)
PuZnMo after structural relaxation, computed with PBE.

Structure (extended XYZ):
```
12
Lattice="6.218 0.000 0.000 0.000 6.218 0.000 0.000 0.000 6.218" Properties=species:S:1:pos:R:3 pbc="T T T"
Pu 0.000 0.000 0.000
Pu 0.000 3.109 3.109
Pu 3.109 0.000 3.109
Pu 3.109 3.109 0.000
Zn 0.000 0.000 3.109
Zn 0.000 3.109 0.000
Zn 3.109 0.000 0.000
Zn 3.109 3.109 3.109
Mo 1.555 1.555 1.555
Mo 1.555 4.664 4.664
Mo 4.664 1.555 4.664
Mo 4.664 4.664 1.555
```

Values from the calculation:
The value obtained for the calculated formation energy is 539 meV/atom. The value obtained for the mass density is 11.2 g/cm³. The energy above the most stable polymorph in this dataset is 0.00 eV/f.u.

(4)
RbTcOs after structural relaxation, computed with PBE.

Structure (extended XYZ):
```
12
Lattice="6.346 0.000 0.000 0.000 6.346 0.000 0.000 0.000 6.346" Properties=species:S:1:pos:R:3 pbc="T T T"
Rb 0.000 0.000 0.000
Rb 0.000 3.173 3.173
Rb 3.173 0.000 3.173
Rb 3.173 3.173 0.000
Tc 1.586 1.586 1.586
Tc 1.586 4.759 4.759
Tc 4.759 1.586 4.759
Tc 4.759 4.759 1.586
Os 0.000 0.000 3.173
Os 0.000 3.173 0.000
Os 3.173 0.000 0.000
Os 3.173 3.173 3.173
```

Values from the calculation:
The value obtained for the mass density is 9.7 g/cm³. The energy above the most stable polymorph in this dataset is 0.00 eV/f.u.